No. 1
The following is a PBE calculation of a relaxed Sb2S8Cl crystal, from Alexandria via LeMat-Bulk.

Unit cell a=6.7520 b=7.5582 c=8.5407 alpha=97.25 beta=112.57 gamma=111.87
Closest atoms and distances in Å follow each position.
Space group P-1 (No. 2)
One atom of each set of equivalent atoms:
Sb 0.0067 0.4689 0.3166 [2 per cell]  2 S 2.48-2.49, 1 Cl 2.73
S 0.0177 0.8683 0.6910 [2 per cell]  1 S 2.07
S 0.3376 0.1824 0.4285 [2 per cell]  2 S 2.05-2.07
S 0.4142 0.0914 0.2313 [2 per cell]  2 S 2.05-2.06
S 0.4408 0.6738 0.8560 [2 per cell]  1 S 2.06
Cl 0.0000 0.5000 0.0000 [1 per cell]  2 Sb 2.73



No. 2
The following is a PBE calculation of a relaxed SbS2Cl5 crystal, from Alexandria via LeMat-Bulk.

Unit cell a=6.6633 b=6.6636 c=8.4983 alpha=80.54 beta=74.68 gamma=75.49
Closest atoms and distances in Å follow each position.
Space group P1 (No. 1)
One atom of each set of equivalent atoms:
Sb 0.0000 0.0000 0.0000 [1 per cell]  5 Cl 2.35-2.40
S 0.4135 0.4761 0.4764 [1 per cell]  1 S 1.89
S 0.5833 0.6224 0.5400 [1 per cell]  1 S 1.89
Cl 0.1410 0.7694 0.2119 [1 per cell]  1 Sb 2.40
Cl 0.3315 0.0910 0.8918 [1 per cell]  1 Sb 2.35
Cl 0.7378 0.1894 0.2002 [1 per cell]  1 Sb 2.36
Cl 0.8602 0.2336 0.7880 [1 per cell]  1 Sb 2.40
Cl 0.9353 0.7182 0.9023 [1 per cell]  1 Sb 2.35



No. 3
The following is a PBE calculation of a relaxed SbS3Cl crystal, from Alexandria via LeMat-Bulk.

Unit cell a=7.8593 b=10.1062 c=9.9217 alpha=90.00 beta=90.00 gamma=90.00
Closest atoms and distances in Å follow each position.
Space group Imma (No. 74)
One atom of each set of equivalent atoms:
Sb 0.0000 0.2500 0.1032 [4 per cell]  2 S 2.45, 2 Cl 2.73
S 0.0000 0.0448 0.5839 [8 per cell]  1 S 1.90
S 0.2500 0.2500 0.2500 [4 per cell]  2 Sb 2.45
Cl 0.0000 0.0000 0.0000 [4 per cell]  2 Sb 2.73

Results
* E above lowest polymorph: 0.00 eV per formula unit



No. 4
The following is a PBE calculation of a relaxed SbS3Cl crystal, from Alexandria via LeMat-Bulk.

Unit cell a=4.7029 b=4.7029 c=4.7029 alpha=90.00 beta=90.00 gamma=90.00
Closest atoms and distances in Å follow each position.
Space group Pm-3m (No. 221)
One atom of each set of equivalent atoms:
Sb 0.0000 0.0000 0.0000 [1 per cell]  12 S 3.33
S 0.0000 0.5000 0.5000 [3 per cell]  2 Cl 2.35
Cl 0.5000 0.5000 0.5000 [1 per cell]  6 S 2.35

Results
* E above lowest polymorph: 4.00 eV per formula unit



| no. | E_form (uncorrected) (meV/atom) |
| --- | --- |
| 1 | -73 |
| 2 | -363 |
| 3 | 87 |
| 4 | 887 |